Record 1
# ZrSiI2 | the Alexandria database | PBE | relaxed
# ρ, kg/m³: 6451
# Total moment, μB/cell: 0.00
# E_tot, eV/atom: -3.98
# Formation energy (no corrections), meV per atom: 287
data_ZrSiI2
_cell_length_a 7.270
_cell_length_b 7.270
_cell_length_c 7.270
_cell_angle_alpha 90.00
_cell_angle_beta 90.00
_cell_angle_gamma 90.00
_space_group_name_H-M_alt 'F m -3 m'
_space_group_IT_number 225
_space_group_name_Hall '-F 4 2 3'
loop_
_atom_site_label
_atom_site_type_symbol
_atom_site_fract_x
_atom_site_fract_y
_atom_site_fract_z
Zr1 Zr 0.000 0.000 0.000
Si1 Si 0.000 0.000 0.500
I1 I 0.250 0.250 0.250

***

Record 2
# NaMgHg4 | the Alexandria database | PBE | relaxed
# ρ, kg/m³: 9068
# Total moment, μB/cell: 0.00
# E_tot, eV/atom: -0.70
# Energy of formation, eV/atom: -0.014
data_NaMgHg4
_cell_length_a 8.538
_cell_length_b 8.538
_cell_length_c 8.538
_cell_angle_alpha 90.00
_cell_angle_beta 90.00
_cell_angle_gamma 90.00
_space_group_name_H-M_alt 'F -4 3 m'
_space_group_IT_number 216
_space_group_name_Hall 'F -4 2 3'
loop_
_atom_site_label
_atom_site_type_symbol
_atom_site_fract_x
_atom_site_fract_y
_atom_site_fract_z
Na1 Na 0.000 0.000 0.000
Mg1 Mg 0.250 0.250 0.750
Hg1 Hg 0.125 0.125 0.375

***

Record 3
# Na2ZrSnCl8 | the Alexandria database | PBE | relaxed
# ρ, kg/m³: 2532
# Total moment, μB/cell: 0.00
# E_tot, eV/atom: -4.08
# Formation energy (no corrections), meV per atom: -1583
data_Na2ZrSnCl8
_cell_length_a 6.413
_cell_length_b 8.370
_cell_length_c 6.604
_cell_angle_alpha 90.00
_cell_angle_beta 93.33
_cell_angle_gamma 90.00
_space_group_name_H-M_alt 'P 1 2/m 1'
_space_group_IT_number 10
_space_group_name_Hall '-P 2y'
loop_
_atom_site_label
_atom_site_type_symbol
_atom_site_fract_x
_atom_site_fract_y
_atom_site_fract_z
Na1 Na 0.000 0.246 0.000
Zr1 Zr 0.500 0.500 0.500
Sn1 Sn 0.500 0.000 0.500
Cl1 Cl 0.218 0.000 0.178
Cl2 Cl 0.240 0.500 0.204
Cl3 Cl 0.298 0.284 0.663

***

Record 4
# KReAsBr2 | the Alexandria database | PBE | relaxed
# ρ, kg/m³: 3296
# Total moment, μB/cell: 9.07
# E_tot, eV/atom: -2.89
# Formation energy (no corrections), meV per atom: 1418
data_KReAsBr2
_cell_length_a 6.177
_cell_length_b 6.177
_cell_length_c 6.075
_cell_angle_alpha 90.00
_cell_angle_beta 90.00
_cell_angle_gamma 90.00
_space_group_name_H-M_alt 'P 4/m m m'
_space_group_IT_number 123
_space_group_name_Hall '-P 4 2'
loop_
_atom_site_label
_atom_site_type_symbol
_atom_site_fract_x
_atom_site_fract_y
_atom_site_fract_z
K1 K 0.000 0.000 0.000
Re1 Re 0.500 0.500 0.500
As1 As 0.000 0.000 0.500
Br1 Br 0.000 0.500 0.000